DFT (GGA-PBE) results for a relaxed structure of K3SbPb3Se8.

Properties
SG: R-3m, No. 166
density of states at the Fermi level: 0.7181 states/eV/atom
total moment: 0.00 μB per cell
DFT total energy: -3.67 eV/atom

Cell: 9.3965 9.3965 9.3965 Å, 53.84 53.84 53.84°
Fractional coordinates of all 15 atoms:
K  0.0000  0.5000  0.5000
K  0.5000  0.0000  0.5000
K  0.5000  0.5000  0.0000
Sb  0.5000  0.5000  0.5000
Pb  0.0000  0.0000  0.5000
Pb  0.0000  0.5000  0.0000
Pb  0.5000  0.0000  0.0000
Se  0.2389  0.2389  0.2389
Se  0.2695  0.7149  0.7149
Se  0.2851  0.2851  0.7305
Se  0.2851  0.7305  0.2851
Se  0.7149  0.2695  0.7149
Se  0.7149  0.7149  0.2695
Se  0.7305  0.2851  0.2851
Se  0.7611  0.7611  0.7611